4
Lattice="3.4605 -1.9527 0.0000 3.4605 1.9527 0.0000 -2.2040 0.0000 5.3489" Properties=species:S:1:pos:R:3 comment="GGA-PBE SrBe2Ru, optimized geometry" magmom_total_mub_per_cell=0.00 polymorph_energy_ev_per_atom=0.0412 dft_energy_ev_per_fu=-18.5 pbc="T T T"
Sr 0.0000 0.0000 0.0000
Be 0.0603 0.0000 2.9541
Be 4.6566 0.0000 2.3948
Ru 2.3585 0.0000 2.6744

***

3
Lattice="-1.7156 1.7156 6.2561 1.7156 -1.7156 6.2561 1.7156 1.7156 -6.2561" Properties=species:S:1:pos:R:3 comment="GGA-PBE PmErNi, optimized geometry" magmom_total_mub_per_cell=0.00 polymorph_energy_ev_per_atom=0.0011 dft_energy_ev_per_fu=-15.7 pbc="T T T"
Pm 0.0000 0.0000 0.0000
Er 0.0000 0.0000 9.2203
Ni 0.0000 0.0000 4.4593

***

Which formula does entry 1 have? SrBe2Ru